No. 1
5
Lattice="5.346 0.000 0.000 0.000 5.346 0.000 0.000 0.000 5.346" Properties=species:S:1:pos:R:3 comment="K3BiF | Alexandria | GGA-PBEsol | relaxed" formation_energy_uncorrected_kj_per_mol_fu=-602 mass_density_g_cm3=3.75 pbc="T T T"
K 0.000 0.000 2.673
K 0.000 2.673 0.000
K 2.673 0.000 0.000
Bi 2.673 2.673 2.673
F 0.000 0.000 0.000

No. 2
8
Lattice="4.080 0.000 0.000 0.000 4.080 0.000 0.000 0.000 8.240" Properties=species:S:1:pos:R:3 comment="Cd2AsRu | Alexandria | GGA-PBEsol | relaxed" ef_kj_per_mol_atoms=27.8 mass_density_g_cm3=9.71 pbc="T T T"
Cd 0.000 0.000 0.000
Cd 0.000 2.040 2.060
Cd 2.040 0.000 6.180
Cd 2.040 2.040 4.120
As 0.000 2.040 6.180
As 2.040 0.000 2.060
Ru 0.000 0.000 4.120
Ru 2.040 2.040 0.000

No. 3
4
Lattice="3.115 0.000 0.000 0.000 3.490 0.000 0.000 0.000 7.589" Properties=species:S:1:pos:R:3 comment="KCr2Mo | Alexandria | GGA-PBEsol | relaxed" ef_kj_per_mol_atoms=88.4 mass_density_g_cm3=4.81 pbc="T T T"
K 0.000 0.000 0.000
Cr 1.558 1.745 2.802
Cr 1.558 1.745 4.786
Mo 0.000 0.000 3.794

No. 4
8
Lattice="4.212 0.000 0.000 0.000 4.744 0.000 0.000 0.000 9.146" Properties=species:S:1:pos:R:3 comment="YCd2Hg | Alexandria | GGA-PBEsol | relaxed" ef_kj_per_mol_atoms=-26.1 mass_density_g_cm3=9.35 pbc="T T T"
Y 0.000 0.000 0.000
Y 2.106 2.372 4.573
Cd 0.000 2.372 2.199
Cd 0.000 2.372 6.947
Cd 2.106 0.000 2.374
Cd 2.106 0.000 6.772
Hg 0.000 0.000 4.573
Hg 2.106 2.372 0.000

No. 5
13
Lattice="-4.705 4.705 2.644 4.705 -4.705 2.644 4.705 4.705 -2.644" Properties=species:S:1:pos:R:3 comment="YMg8Cu4 | Alexandria | GGA-PBEsol | relaxed" ef_kj_per_mol_atoms=-7.4 mass_density_g_cm3=3.81 pbc="T T T"
Y 0.000 0.000 0.000
Mg 3.203 0.000 0.000
Mg 6.207 0.000 0.000
Mg 4.705 2.681 0.000
Mg 0.000 3.203 0.000
Mg 2.681 4.705 0.000
Mg 2.025 0.000 2.644
Mg 0.000 6.207 0.000
Mg 0.000 2.025 2.644
Cu 2.353 2.353 -1.322
Cu 2.353 -2.353 1.322
Cu -2.353 2.353 1.322
Cu 2.353 2.353 1.322

No. 6
5
Lattice="5.494 0.000 0.000 0.000 5.494 0.000 0.000 0.000 5.494" Properties=species:S:1:pos:R:3 comment="SrLi3I | Alexandria | GGA-PBEsol | relaxed" formation_energy_uncorrected_kj_per_mol_fu=-91 mass_density_g_cm3=2.36 pbc="T T T"
Sr 0.000 0.000 0.000
Li 0.000 2.747 2.747
Li 2.747 0.000 2.747
Li 2.747 2.747 0.000
I 2.747 2.747 2.747

Repeat the second record exactly.
8
Lattice="4.080 0.000 0.000 0.000 4.080 0.000 0.000 0.000 8.240" Properties=species:S:1:pos:R:3 comment="Cd2AsRu | Alexandria | GGA-PBEsol | relaxed" ef_kj_per_mol_atoms=27.8 mass_density_g_cm3=9.71 pbc="T T T"
Cd 0.000 0.000 0.000
Cd 0.000 2.040 2.060
Cd 2.040 0.000 6.180
Cd 2.040 2.040 4.120
As 0.000 2.040 6.180
As 2.040 0.000 2.060
Ru 0.000 0.000 4.120
Ru 2.040 2.040 0.000